(w)
First-principles (meta-GGA SCAN) data for a crystal of SrLiCa2 relaxed with PBEsol, as listed in Alexandria via LeMat-Bulk.

Unit cell a=6.5867 b=6.5867 c=6.5867 alpha=131.46 beta=131.46 gamma=71.09
Last column: nearest neighbours and their distance in Å.
Sites, in units of the cell vectors:
1 Sr 0.0000 0.0000 0.0000  4 Li 3.81, 8 Ca 3.81-3.83
2 Li 0.2500 0.7500 0.5000  8 Ca 3.81-3.83, 4 Sr 3.81
3 Ca 0.5000 0.5000 0.0000  4 Li 3.81, 4 Ca 3.81, 4 Sr 3.83
4 Ca 0.7500 0.2500 0.5000  4 Ca 3.81, 4 Sr 3.81, 4 Li 3.83

Properties
Space group: I-4m2
Density in g cm⁻³: 1.85
Total magnetic moment in μB/f.u.: 0.456

***

(x)
First-principles (meta-GGA SCAN) data for a crystal of SrLiCa2 relaxed with PBEsol, as listed in Alexandria via LeMat-Bulk.

Unit cell a=5.2516 b=5.2516 c=5.6729 alpha=90.00 beta=90.00 gamma=90.00
Last column: nearest neighbours and their distance in Å.
Sites, in units of the cell vectors:
1 Sr 0.0000 0.0000 0.0000  4 Li 3.71, 8 Ca 3.87
2 Li 0.5000 0.5000 0.0000  4 Sr 3.71, 8 Ca 3.87
3 Ca 0.0000 0.5000 0.5000  4 Ca 3.71, 4 Li 3.87, 4 Sr 3.87
4 Ca 0.5000 0.0000 0.5000  4 Ca 3.71, 4 Li 3.87, 4 Sr 3.87

Properties
Space group: P4/mmm
Density in g cm⁻³: 1.85
Total magnetic moment in μB/f.u.: 0.401

***

From most stable to least stable, the computed energies give (x), (w).

***

(w)
First-principles (meta-GGA SCAN) data for a crystal of SrLiCa2 relaxed with PBEsol, as listed in Alexandria via LeMat-Bulk.

Unit cell a=5.9183 b=4.3486 c=6.0877 alpha=90.00 beta=90.07 gamma=90.00
Last column: nearest neighbours and their distance in Å.
Sites, in units of the cell vectors:
1 Sr 0.0000 0.0000 0.0000  4 Li 3.67, 4 Ca 3.74
2 Li 0.5000 0.5000 0.0000  4 Sr 3.67, 4 Ca 3.74
3 Ca 0.0000 0.5000 0.5000  4 Ca 3.67, 4 Sr 3.74
4 Ca 0.5000 0.0000 0.5000  4 Ca 3.67, 4 Li 3.74

Properties
Space group: P2/m
Density in g cm⁻³: 1.85
Total magnetic moment in μB/f.u.: 0.001

***

(x)
First-principles (meta-GGA SCAN) data for a crystal of SrLiCa2 relaxed with PBEsol, as listed in Alexandria via LeMat-Bulk.

Unit cell a=6.0578 b=6.0578 c=6.0578 alpha=60.00 beta=60.00 gamma=60.00
Last column: nearest neighbours and their distance in Å.
Sites, in units of the cell vectors:
1 Sr 0.0000 0.0000 0.0000  4 Li 3.71, 4 Ca 3.71
2 Li 0.7500 0.7500 0.7500  4 Sr 3.71, 4 Ca 3.71
3 Ca 0.2500 0.2500 0.2500  4 Ca 3.71, 4 Sr 3.71
4 Ca 0.5000 0.5000 0.5000  4 Li 3.71, 4 Ca 3.71

Properties
Space group: F-43m
Density in g cm⁻³: 1.85
Total magnetic moment in μB/f.u.: 0.382

***

(y)
First-principles (meta-GGA SCAN) data for a crystal of SrLiCa2 relaxed with PBEsol, as listed in Alexandria via LeMat-Bulk.

Unit cell a=6.6304 b=6.6304 c=3.8968 alpha=90.00 beta=90.00 gamma=110.38
Last column: nearest neighbours and their distance in Å.
Sites, in units of the cell vectors:
1 Sr 0.0000 0.0000 0.0000  2 Li 3.79, 8 Ca 3.85, 2 Sr 3.90
2 Li 0.5000 0.5000 0.0000  2 Sr 3.79, 8 Ca 3.85, 2 Li 3.90
3 Ca 0.0000 0.5000 0.5000  4 Ca 3.79-3.90, 4 Li 3.85, 4 Sr 3.85
4 Ca 0.5000 0.0000 0.5000  4 Ca 3.79-3.90, 4 Li 3.85, 4 Sr 3.85

Properties
Space group: Cmmm
Density in g cm⁻³: 1.81
Total magnetic moment in μB/f.u.: 0.329

***

(z)
First-principles (meta-GGA SCAN) data for a crystal of SrLiCa2 relaxed with PBEsol, as listed in Alexandria via LeMat-Bulk.

Unit cell a=12.1409 b=12.1409 c=12.1409 alpha=18.54 beta=18.54 gamma=18.54
Last column: nearest neighbours and their distance in Å.
Sites, in units of the cell vectors:
1 Sr 0.0000 0.0000 0.0000  6 Sr 3.91, 6 Ca 4.02
2 Li 0.5000 0.5000 0.5000  6 Ca 3.48
3 Ca 0.2405 0.2405 0.2405  3 Li 3.48
4 Ca 0.7595 0.7595 0.7595  3 Li 3.48

Properties
Space group: R-3m
Density in g cm⁻³: 1.84
Total magnetic moment in μB/f.u.: 0.087

***

From most stable to least stable, the computed energies give (w), (z), (x), (y).

***

(w)
First-principles (meta-GGA SCAN) data for a crystal of SrLiCa2 relaxed with PBEsol, as listed in Alexandria via LeMat-Bulk.

Unit cell a=3.8696 b=5.6821 c=7.4679 alpha=90.00 beta=104.92 gamma=90.00
Last column: nearest neighbours and their distance in Å.
Sites, in units of the cell vectors:
1 Sr 0.0000 0.0000 0.0000  4 Li 3.67-3.95, 5 Ca 3.78-4.09, 2 Sr 3.87
2 Li 0.4591 0.5000 0.7742  4 Ca 3.42-3.80, 2 Sr 3.67
3 Ca 0.1926 0.0000 0.5226  2 Li 3.42, 2 Ca 3.74, 2 Sr 3.78-3.83
4 Ca 0.6113 0.5000 0.2977  6 Ca 3.74-3.87, 3 Li 3.75-4.17, 4 Sr 3.99-4.12

Properties
Space group: Pm
Density in g cm⁻³: 1.83
Total magnetic moment in μB/f.u.: 0.250

***

(x)
First-principles (meta-GGA SCAN) data for a crystal of SrLiCa2 relaxed with PBEsol, as listed in Alexandria via LeMat-Bulk.

Unit cell a=6.8030 b=6.8030 c=6.8030 alpha=134.56 beta=134.56 gamma=66.22
Last column: nearest neighbours and their distance in Å.
Sites, in units of the cell vectors:
1 Sr 0.0000 0.0000 0.0000  4 Li 3.72, 8 Ca 3.88
2 Li 0.5000 0.5000 0.0000  4 Sr 3.72, 8 Ca 3.88
3 Ca 0.2500 0.7500 0.5000  4 Ca 3.72, 4 Li 3.88, 4 Sr 3.88
4 Ca 0.7500 0.2500 0.5000  4 Ca 3.72, 4 Li 3.88, 4 Sr 3.88

Properties
Space group: I4/mmm
Density in g cm⁻³: 1.84
Total magnetic moment in μB/f.u.: 0.523

***

(y)
First-principles (meta-GGA SCAN) data for a crystal of SrLiCa2 relaxed with PBEsol, as listed in Alexandria via LeMat-Bulk.

Unit cell a=7.1945 b=7.1945 c=7.1945 alpha=147.14 beta=129.21 gamma=61.82
Last column: nearest neighbours and their distance in Å.
Sites, in units of the cell vectors:
1 Sr 0.0000 0.0000 0.0000  4 Li 3.70, 8 Ca 4.03-4.10, 2 Sr 4.07
2 Li 0.5000 0.5000 0.0000  4 Ca 3.38, 4 Sr 3.70
3 Ca 0.2817 0.7817 0.5000  2 Li 3.38, 4 Ca 3.78
4 Ca 0.7183 0.2183 0.5000  2 Li 3.38, 4 Ca 3.78

Properties
Space group: Immm
Density in g cm⁻³: 1.87
Total magnetic moment in μB/f.u.: 0.185

***

(z)
First-principles (meta-GGA SCAN) data for a crystal of SrLiCa2 relaxed with PBEsol, as listed in Alexandria via LeMat-Bulk.

Unit cell a=7.1054 b=7.1054 c=7.1054 alpha=146.02 beta=128.28 gamma=63.34
Last column: nearest neighbours and their distance in Å.
Sites, in units of the cell vectors:
1 Sr 0.0000 0.0000 0.0000  2 Li 3.50, 4 Ca 3.78
2 Li 0.2327 0.7327 0.5000  2 Ca 3.32, 2 Sr 3.50
3 Ca 0.4473 0.4473 0.0000  2 Li 3.32
4 Ca 0.7204 0.2204 0.5000  4 Li 3.73, 6 Ca 3.90-4.15, 4 Sr 3.97-4.09

Properties
Space group: Imm2
Density in g cm⁻³: 1.86
Total magnetic moment in μB/f.u.: 0.123

***

From most stable to least stable, the computed energies give (y), (z), (w), (x).

***

(w)
First-principles (meta-GGA SCAN) data for a crystal of LiCaW relaxed with PBEsol, as listed in Alexandria via LeMat-Bulk.

Unit cell a=4.6242 b=4.6242 c=4.6242 alpha=60.00 beta=60.00 gamma=60.00
Last column: nearest neighbours and their distance in Å.
Sites, in units of the cell vectors:
1 Li 0.0000 0.0000 0.0000  4 W 2.83, 4 Ca 2.83
2 Ca 0.2500 0.2500 0.2500  4 Li 2.83
3 W 0.7500 0.7500 0.7500  4 Li 2.83

Properties
Space group: F-43m
Density in g cm⁻³: 5.48
Total magnetic moment in μB/f.u.: 3.937

***

(x)
First-principles (meta-GGA SCAN) data for a crystal of LiCaW relaxed with PBEsol, as listed in Alexandria via LeMat-Bulk.

Unit cell a=2.9121 b=2.9121 c=7.9862 alpha=90.00 beta=90.00 gamma=120.00
Last column: nearest neighbours and their distance in Å.
Sites, in units of the cell vectors:
1 Li 0.0000 0.0000 0.0000  3 W 2.90, 6 Li 2.91
2 Ca 0.6667 0.3333 0.3820  6 Ca 2.91, 3 W 3.07
3 W 0.3333 0.6667 0.7035  3 Li 2.90, 6 W 2.91, 3 Ca 3.07

Properties
Space group: P3m1
Density in g cm⁻³: 6.54
Total magnetic moment in μB/f.u.: 0.000

***

From most stable to least stable, the computed energies give (x), (w).

***

(w)
First-principles (meta-GGA SCAN) data for a crystal of LiCaY2 relaxed with PBEsol, as listed in Alexandria via LeMat-Bulk.

Unit cell a=5.5156 b=5.5156 c=5.5156 alpha=60.00 beta=60.00 gamma=60.00
Last column: nearest neighbours and their distance in Å.
Sites, in units of the cell vectors:
1 Li 0.0000 0.0000 0.0000  8 Y 3.38
2 Ca 0.5000 0.5000 0.5000  8 Y 3.38
3 Y 0.2500 0.2500 0.2500  4 Li 3.38, 4 Ca 3.38
4 Y 0.7500 0.7500 0.7500  4 Li 3.38, 4 Ca 3.38

Properties
Space group: Fm-3m
Density in g cm⁻³: 3.15
Total magnetic moment in μB/f.u.: 0.000

***

(x)
First-principles (meta-GGA SCAN) data for a crystal of LiCaY2 relaxed with PBEsol, as listed in Alexandria via LeMat-Bulk.

Unit cell a=3.6417 b=3.6417 c=8.9585 alpha=90.00 beta=90.00 gamma=90.00
Last column: nearest neighbours and their distance in Å.
Sites, in units of the cell vectors:
1 Li 0.0000 0.0000 0.0000  8 Y 3.14
2 Ca 0.0000 0.0000 0.5000  4 Ca 3.64, 8 Y 3.72
3 Y 0.5000 0.5000 0.1999  4 Li 3.14
4 Y 0.5000 0.5000 0.8001  4 Li 3.14

Properties
Space group: P4/mmm
Density in g cm⁻³: 3.14
Total magnetic moment in μB/f.u.: 1.271

***

(y)
First-principles (meta-GGA SCAN) data for a crystal of LiCaY2 relaxed with PBEsol, as listed in Alexandria via LeMat-Bulk.

Unit cell a=3.5826 b=3.5826 c=9.4235 alpha=90.00 beta=90.00 gamma=90.00
Last column: nearest neighbours and their distance in Å.
Sites, in units of the cell vectors:
1 Li 0.0000 0.0000 0.0000  4 Y 3.27, 4 Ca 3.39, 4 Li 3.58
2 Ca 0.5000 0.5000 0.7613  4 Li 3.39, 4 Ca 3.58, 4 Y 3.73
3 Y 0.0000 0.0000 0.4702  8 Y 3.46-3.58, 4 Ca 3.73
4 Y 0.5000 0.5000 0.2199  4 Li 3.27, 8 Y 3.46-3.58

Properties
Space group: P4mm
Density in g cm⁻³: 3.09
Total magnetic moment in μB/f.u.: 1.359

***

From most stable to least stable, the computed energies give (y), (x), (w).

***

(w)
First-principles (meta-GGA SCAN) data for a crystal of Li2CaY relaxed with PBEsol, as listed in Alexandria via LeMat-Bulk.

Unit cell a=5.4393 b=5.4393 c=3.6597 alpha=90.00 beta=90.00 gamma=90.00
Last column: nearest neighbours and their distance in Å.
Sites, in units of the cell vectors:
1 Li 0.0000 0.5000 0.0000  4 Y 3.28, 4 Ca 3.28, 2 Li 3.66
2 Li 0.5000 0.0000 0.0000  4 Y 3.28, 4 Ca 3.28, 2 Li 3.66
3 Ca 0.0000 0.0000 0.5000  8 Li 3.28, 2 Ca 3.66
4 Y 0.5000 0.5000 0.5000  8 Li 3.28, 2 Y 3.66

Properties
Space group: P4/mmm
Density in g cm⁻³: 2.19
Total magnetic moment in μB/f.u.: 0.223

***

(x)
First-principles (meta-GGA SCAN) data for a crystal of Li2CaY relaxed with PBEsol, as listed in Alexandria via LeMat-Bulk.

Unit cell a=3.6553 b=3.6553 c=8.1353 alpha=90.00 beta=90.00 gamma=90.00
Last column: nearest neighbours and their distance in Å.
Sites, in units of the cell vectors:
1 Li 0.0000 0.0000 0.0000  4 Li 2.89
2 Li 0.5000 0.5000 0.1584  4 Li 2.89
3 Ca 0.5000 0.5000 0.7262  5 Li 3.41-3.52, 4 Ca 3.66, 4 Y 3.69
4 Y 0.0000 0.0000 0.4029  5 Li 3.26-3.28

Properties
Space group: P4mm
Density in g cm⁻³: 2.18
Total magnetic moment in μB/f.u.: 0.365

***

From most stable to least stable, the computed energies give (x), (w).